An optimized crystal structure of PrErCo2Si2. Source: the Open Quantum Materials Database, functional PBE-GGA.

Structure (CIF):
```
data_PrErCo2Si2
_cell_length_a 3.986
_cell_length_b 3.986
_cell_length_c 6.933
_cell_angle_alpha 90.00
_cell_angle_beta 90.00
_cell_angle_gamma 90.00
_space_group_name_H-M_alt 'P 4 m m'
_space_group_IT_number 99
_space_group_name_Hall 'P 4 -2'
loop_
_atom_site_label
_atom_site_type_symbol
_atom_site_fract_x
_atom_site_fract_y
_atom_site_fract_z
Pr1 Pr 0.000 0.000 0.000
Er1 Er 0.500 0.500 0.370
Co1 Co 0.000 0.500 0.667
Si1 Si 0.000 0.000 0.491
Si2 Si 0.500 0.500 0.841
```

Calculated values
calculated volume	18.36	Å³/atom
E	-38.629	eV for the cell shown